Compound: Pm3Dy8Tl
Source: Alexandria
Functional: PBE
Structure: relaxed Values from VASP.

**Formation energy from the elements**: 513 meV per atom
**N(E_F)**: 18.1 states/eV per cell
**E**: -3.94 eV per atom
**SG**: I-42m

The structure in Quantum ESPRESSO input format:
```
&SYSTEM
  ibrav = 0, nat = 12, ntyp = 3
/
ATOMIC_SPECIES
Pm 145.00 Pm.upf
Dy 162.50 Dy.upf
Tl 204.38 Tl.upf
ATOMIC_POSITIONS angstrom
Pm 0.396 5.117 -0.602
Pm 2.446 1.858 4.155
Pm -2.338 3.717 3.554
Dy 2.544 1.768 0.115
Dy 0.147 5.448 3.668
Dy -3.276 5.208 1.087
Dy -1.249 1.986 5.791
Dy 0.122 2.718 1.809
Dy 5.015 0.609 -1.744
Dy -2.966 4.715 6.503
Dy -4.005 6.366 4.093
Tl 0.000 0.000 0.000
CELL_PARAMETERS angstrom
7.518 -0.458 -3.554
-4.388 6.975 -1.204
-0.288 0.458 8.311
```



Compound: PmDy2Tl3
Source: Alexandria
Functional: PBE
Structure: relaxed Values from VASP.

**Formation energy from the elements**: -361 meV per atom
**N(E_F)**: 4.4 states/eV per cell
**E**: -3.87 eV per atom
**SG**: P4/mmm

The structure in Quantum ESPRESSO input format:
```
&SYSTEM
  ibrav = 0, nat = 6, ntyp = 3
/
ATOMIC_SPECIES
Pm 145.00 Pm.upf
Dy 162.50 Dy.upf
Tl 204.38 Tl.upf
ATOMIC_POSITIONS angstrom
Pm -5.884 -0.409 -2.576
Dy -9.822 -0.653 -2.510
Dy -1.946 -0.165 -2.642
Tl 0.000 0.000 0.000
Tl -7.883 -0.488 0.132
Tl -3.802 -0.236 0.064
CELL_PARAMETERS angstrom
-0.208 2.622 -2.718
0.124 -2.716 -2.630
-11.685 -0.724 0.196
```



Compound: Pm8Dy5Tl
Source: Alexandria
Functional: PBE
Structure: relaxed Values from VASP.

**Formation energy from the elements**: 103 meV per atom
**N(E_F)**: 20.3 states/eV per cell
**E**: -4.42 eV per atom
**SG**: C2

The structure in Quantum ESPRESSO input format:
```
&SYSTEM
  ibrav = 0, nat = 14, ntyp = 3
/
ATOMIC_SPECIES
Pm 145.00 Pm.upf
Dy 162.50 Dy.upf
Tl 204.38 Tl.upf
ATOMIC_POSITIONS angstrom
Pm -2.422 -4.669 0.642
Pm 2.214 0.783 5.211
Pm -3.481 2.535 2.291
Pm -1.501 2.575 6.694
Pm -3.298 -1.266 1.837
Pm -1.335 -1.209 6.258
Pm -0.841 0.906 3.445
Pm -0.244 -4.773 3.132
Dy -6.642 3.185 0.948
Dy -6.542 -2.584 2.228
Dy -3.989 0.364 5.086
Dy -1.459 4.816 4.219
Dy 1.740 3.900 6.310
Tl 0.984 -2.010 4.161
CELL_PARAMETERS angstrom
-6.765 5.323 0.204
-1.901 -8.258 0.149
4.304 2.801 6.912
```



Compound: PmDy6Tl6
Source: Alexandria
Functional: PBE
Structure: relaxed Values from VASP.

**Formation energy from the elements**: -194 meV per atom
**N(E_F)**: 12.5 states/eV per cell
**E**: -3.78 eV per atom
**SG**: P6/mmm

The structure in Quantum ESPRESSO input format:
```
&SYSTEM
  ibrav = 0, nat = 13, ntyp = 3
/
ATOMIC_SPECIES
Pm 145.00 Pm.upf
Dy 162.50 Dy.upf
Tl 204.38 Tl.upf
ATOMIC_POSITIONS angstrom
Pm 0.000 0.000 0.000
Dy 1.157 -1.995 6.620
Dy 0.586 -1.011 3.356
Dy -1.345 -3.375 -0.782
Dy -3.626 -0.699 0.423
Dy -0.474 -4.879 4.206
Dy -2.754 -2.203 5.411
Tl 1.782 -5.293 6.528
Tl -1.639 -1.278 8.335
Tl -1.172 -4.304 7.342
Tl -2.524 0.249 3.269
Tl 0.897 -3.766 1.461
Tl -2.057 -2.777 2.275
CELL_PARAMETERS angstrom
-5.907 1.977 1.628
0.935 -6.052 -1.987
1.743 -3.007 9.977
```



Compound: Pm5Dy4Tl
Source: Alexandria
Functional: PBE
Structure: relaxed Values from VASP.

**Formation energy from the elements**: 21 meV per atom
**N(E_F)**: 17.7 states/eV per cell
**E**: -4.43 eV per atom
**Energy relative to the lowest polymorph listed for this composition**: 0.000 eV per atom
**SG**: P4/mmm

The structure in Quantum ESPRESSO input format:
```
&SYSTEM
  ibrav = 0, nat = 10, ntyp = 3
/
ATOMIC_SPECIES
Pm 145.00 Pm.upf
Dy 162.50 Dy.upf
Tl 204.38 Tl.upf
ATOMIC_POSITIONS angstrom
Pm -0.680 -2.764 1.851
Pm -3.456 -2.641 4.401
Pm -6.202 -2.520 6.923
Pm -8.948 -2.399 9.444
Pm -11.724 -2.277 11.994
Dy -2.646 0.117 2.430
Dy -5.370 0.237 4.931
Dy -8.122 0.358 7.459
Dy -10.846 0.478 9.960
Tl 0.000 0.000 0.000
CELL_PARAMETERS angstrom
-1.385 -3.721 -1.329
2.472 -1.914 2.784
-13.492 0.595 12.390
```



Compound: PmDy2Tl2
Source: Alexandria
Functional: PBE
Structure: relaxed Values from VASP.

**Formation energy from the elements**: -286 meV per atom
**N(E_F)**: 10.4 states/eV per cell
**E**: -4.02 eV per atom
**Energy relative to the lowest polymorph listed for this composition**: 0.000 eV per atom
**SG**: P2_1/m

The structure in Quantum ESPRESSO input format:
```
&SYSTEM
  ibrav = 0, nat = 10, ntyp = 3
/
ATOMIC_SPECIES
Pm 145.00 Pm.upf
Dy 162.50 Dy.upf
Tl 204.38 Tl.upf
ATOMIC_POSITIONS angstrom
Pm 3.197 4.084 9.566
Pm 0.550 1.361 4.155
Dy 0.185 4.084 1.387
Dy 3.562 1.361 12.334
Dy 0.885 4.084 6.622
Dy 2.862 1.361 7.099
Tl 2.415 4.084 3.781
Tl 1.333 1.361 9.940
Tl 1.691 4.084 12.656
Tl 2.057 1.361 1.065
CELL_PARAMETERS angstrom
3.757 0.000 -0.504
0.000 5.445 0.000
-0.009 0.000 14.225
```



Compound: Pm5Dy4Tl
Source: Alexandria
Functional: PBE
Structure: relaxed Values from VASP.

**Formation energy from the elements**: 156 meV per atom
**N(E_F)**: 14.0 states/eV per cell
**E**: -4.30 eV per atom
**Energy relative to the lowest polymorph listed for this composition**: 0.135 eV per atom
**SG**: I4mm

The structure in Quantum ESPRESSO input format:
```
&SYSTEM
  ibrav = 0, nat = 10, ntyp = 3
/
ATOMIC_SPECIES
Pm 145.00 Pm.upf
Dy 162.50 Dy.upf
Tl 204.38 Tl.upf
ATOMIC_POSITIONS angstrom
Pm -2.385 5.837 0.584
Pm -2.802 1.011 4.531
Pm -7.906 8.690 1.238
Pm -8.322 3.864 5.184
Pm -0.067 3.675 1.490
Dy -5.047 4.215 4.683
Dy -7.311 7.544 4.309
Dy -3.400 2.309 1.521
Dy -5.663 5.638 1.147
Tl -0.019 1.031 0.418
CELL_PARAMETERS angstrom
-0.100 5.526 2.241
-6.158 4.325 -3.004
-4.459 0.398 6.754
```



Compound: Pm2DyTl
Source: Alexandria
Functional: PBE
Structure: relaxed Values from VASP.

**Formation energy from the elements**: -99 meV per atom
**N(E_F)**: 5.6 states/eV per cell
**E**: -4.22 eV per atom
**Energy relative to the lowest polymorph listed for this composition**: 0.094 eV per atom
**SG**: R3m

The structure in Quantum ESPRESSO input format:
```
&SYSTEM
  ibrav = 0, nat = 4, ntyp = 3
/
ATOMIC_SPECIES
Pm 145.00 Pm.upf
Dy 162.50 Dy.upf
Tl 204.38 Tl.upf
ATOMIC_POSITIONS angstrom
Pm -4.991 -7.043 0.033
Pm -1.321 -2.816 -1.297
Dy -2.810 -5.825 -2.533
Tl 0.684 -1.799 -3.799
CELL_PARAMETERS angstrom
-0.872 -0.365 -3.565
1.906 -2.326 -2.136
-6.659 -8.965 0.638
```